--- w ---
The following is a GGA-PBE calculation of an optimized crystal structure of AcLuPb, from Alexandria via LeMat-Bulk.

## Properties
Total magnetic moment: 0.000 μB per atom

Structure (extended XYZ):
```
3
Lattice="-2.177 -1.387 3.723 -1.209 -4.451 -2.365 4.399 0.380 2.714" Properties=species:S:1:pos:R:3 pbc="T T T"
Pb -0.361 -0.230 0.618
Lu 0.296 -3.072 -0.050
Ac 1.078 -2.155 3.503
```


--- x ---
The following is a GGA-PBE calculation of an optimized crystal structure of AcLuPb, from Alexandria via LeMat-Bulk.

## Properties
Total magnetic moment: 0.000 μB per atom

Structure (extended XYZ):
```
3
Lattice="5.420 0.000 0.000 2.710 4.693 0.000 2.710 1.564 4.425" Properties=species:S:1:pos:R:3 pbc="T T T"
Ac 5.420 3.129 2.213
Pb 2.710 1.564 1.106
Lu 0.000 0.000 0.000
```


Here are the energies relative to the best structure, in meV per atom: w 0; x 172.


--- w ---
The following is a GGA-PBE calculation of an optimized crystal structure of Ac2LuPd, from Alexandria via LeMat-Bulk.

## Properties
Total magnetic moment: 0.000 μB per atom

Structure (extended XYZ):
```
4
Lattice="3.930 0.000 0.000 0.000 3.930 0.000 0.000 0.000 8.389" Properties=species:S:1:pos:R:3 pbc="T T T"
Pd 1.965 1.965 0.000
Ac 0.000 0.000 6.603
Ac 0.000 0.000 1.786
Lu 1.965 1.965 4.195
```


--- x ---
The following is a GGA-PBE calculation of an optimized crystal structure of Ac2LuPd, from Alexandria via LeMat-Bulk.

## Properties
Total magnetic moment: 0.000 μB per atom

Structure (extended XYZ):
```
4
Lattice="-0.214 0.637 -3.668 -3.326 0.473 -1.619 -0.503 11.762 0.178" Properties=species:S:1:pos:R:3 pbc="T T T"
Lu -2.021 6.436 -2.555
Ac -0.665 9.028 -0.288
Ac -3.377 3.845 -4.821
Pd 0.000 0.000 0.000
```


Here are the energies relative to the best structure, in meV per atom: w 0; x 470.


--- w ---
The following is a GGA-PBE calculation of an optimized crystal structure of AcLuPd2, from Alexandria via LeMat-Bulk.

## Properties
Total magnetic moment: 0.000 μB per atom

Structure (extended XYZ):
```
4
Lattice="-0.753 3.684 2.865 0.283 -0.554 4.686 4.963 2.222 2.347" Properties=species:S:1:pos:R:3 pbc="T T T"
Pd 1.643 1.458 2.457
Pd 2.850 3.895 7.441
Ac 0.000 0.000 0.000
Lu 2.247 2.676 4.949
```


--- x ---
The following is a GGA-PBE calculation of an optimized crystal structure of AcLuPd2, from Alexandria via LeMat-Bulk.

## Properties
Total magnetic moment: 0.000 μB per atom

Structure (extended XYZ):
```
4
Lattice="3.610 0.000 0.000 0.000 3.610 0.000 0.000 0.000 7.274" Properties=species:S:1:pos:R:3 pbc="T T T"
Ac 1.805 1.805 3.637
Pd 0.000 0.000 5.749
Pd 0.000 0.000 1.525
Lu 1.805 1.805 0.000
```


Here are the energies relative to the best structure, in meV per atom: w 0; x 23.


--- w ---
The following is a GGA-PBE calculation of an optimized crystal structure of AcPmLu, from Alexandria via LeMat-Bulk.

## Properties
Total magnetic moment: 0.000 μB per atom

Structure (extended XYZ):
```
3
Lattice="3.753 0.000 0.000 0.000 3.753 0.000 -1.876 -1.876 7.662" Properties=species:S:1:pos:R:3 pbc="T T T"
Lu 0.000 0.000 5.026
Pm 1.876 1.876 2.670
Ac 1.876 1.876 7.629
```


--- x ---
The following is a GGA-PBE calculation of an optimized crystal structure of AcPmLu, from Alexandria via LeMat-Bulk.

## Properties
Total magnetic moment: 0.000 μB per atom

Structure (extended XYZ):
```
3
Lattice="3.581 0.000 0.000 0.000 5.882 0.000 0.000 -2.941 5.094" Properties=species:S:1:pos:R:3 pbc="T T T"
Pm 2.386 2.941 1.698
Ac 0.591 0.000 0.000
Lu 0.604 0.000 3.396
```


Here are the energies relative to the best structure, in meV per atom: w 0; x 80.


--- w ---
The following is a GGA-PBE calculation of an optimized crystal structure of Ac2PmLu, from Alexandria via LeMat-Bulk.

## Properties
Total magnetic moment: 0.000 μB per atom

Structure (extended XYZ):
```
4
Lattice="5.169 0.000 0.000 0.000 5.409 0.000 0.000 0.000 5.409" Properties=species:S:1:pos:R:3 pbc="T T T"
Lu 2.585 0.000 0.000
Ac 0.000 0.000 2.705
Ac 0.000 2.705 0.000
Pm 2.585 2.705 2.705
```


--- x ---
The following is a GGA-PBE calculation of an optimized crystal structure of Ac2PmLu, from Alexandria via LeMat-Bulk.

## Properties
Total magnetic moment: 0.000 μB per atom

Structure (extended XYZ):
```
4
Lattice="3.702 0.000 0.000 1.851 3.206 0.000 1.851 1.069 13.161" Properties=species:S:1:pos:R:3 pbc="T T T"
Lu 0.000 0.000 0.000
Ac 1.851 1.069 9.701
Ac 5.553 3.206 3.459
Pm 3.702 2.138 6.580
```


--- y ---
The following is a GGA-PBE calculation of an optimized crystal structure of Ac2PmLu, from Alexandria via LeMat-Bulk.

## Properties
Total magnetic moment: 0.000 μB per atom

Structure (extended XYZ):
```
4
Lattice="6.000 0.000 0.000 3.000 5.196 0.000 3.000 1.732 4.899" Properties=species:S:1:pos:R:3 pbc="T T T"
Pm 0.000 0.000 0.000
Ac 9.000 5.196 3.674
Ac 3.000 1.732 1.225
Lu 6.000 3.464 2.450
```


Here are the energies relative to the best structure, in meV per atom: w 0; x 220; y 56.


--- w ---
The following is a GGA-PBE calculation of an optimized crystal structure of Ac2PrLu, from Alexandria via LeMat-Bulk.

## Properties
Total magnetic moment: 0.000 μB per atom

Structure (extended XYZ):
```
4
Lattice="-2.300 3.063 0.718 0.233 -0.722 3.823 8.138 5.964 0.630" Properties=species:S:1:pos:R:3 pbc="T T T"
Ac 6.185 4.533 0.479
Ac 1.953 1.431 0.151
Lu -1.034 1.171 2.271
Pr 3.035 4.153 2.586
```


--- x ---
The following is a GGA-PBE calculation of an optimized crystal structure of Ac2PrLu, from Alexandria via LeMat-Bulk.

## Properties
Total magnetic moment: 0.003 μB per atom

Structure (extended XYZ):
```
4
Lattice="6.028 0.000 0.000 3.014 5.221 0.000 3.014 1.740 4.922" Properties=species:S:1:pos:R:3 pbc="T T T"
Ac 3.014 1.740 1.231
Ac 9.042 5.221 3.692
Lu 6.028 3.480 2.461
Pr 0.000 0.000 0.000
```


Here are the energies relative to the best structure, in meV per atom: w 0; x 64.